The following is a PBE calculation of a geometry-optimized AlV2Cl structure, from the Alexandria database.

Cell lengths 4.386, 4.386, 4.386 Å; angles 60.00, 60.00, 60.00 degrees
Fractional coordinates of all 4 atoms:
Cl 0.500 0.500 0.500
Al 0.000 0.000 0.000
V 0.250 0.250 0.250
V 0.750 0.750 0.750

Properties
Excess energy over the best structure of this formula in the dataset (meV per atom): 33
Raw formation energy (eV/f.u.): 2.09